Density functional theory data (PBE+U) for a relaxed RbVPO4 crystal.

Unit cell a=5.485 b=5.643 c=7.401 alpha=90.00 beta=107.33 gamma=90.00
Last column: magnetic moment on the atom in μB.
Fractional positions:
Rb 0.703 0.750 0.941  0.00
Rb 0.297 0.250 0.059  0.00
V 0.777 0.750 0.476  2.75
V 0.223 0.250 0.524  2.75
P 0.245 0.750 0.351  0.01
P 0.755 0.250 0.649  0.01
O 0.938 0.470 0.680  0.00
O 0.062 0.970 0.320  0.00
O 0.062 0.530 0.320  0.00
O 0.938 0.030 0.680  0.00
O 0.414 0.750 0.215  0.00
O 0.586 0.250 0.785  0.00
O 0.431 0.750 0.556  0.00
O 0.569 0.250 0.444  0.00

Output
**Density of states at the Fermi level**: 0.00 states/eV/f.u.
**Space group**: P2_1/m (11)
**Uncorrected energy**: -6.870 eV per atom